Density functional theory data (PBE) for a relaxed Pd2SO crystal.

Geometry as POSCAR:
```
Pd2SO
1.0
5.892 0.000 0.000
0.000 5.892 0.000
2.946 2.946 3.445
Pd O S
4 2 2
direct
0.375 0.395 0.750
0.875 0.855 0.750
0.605 0.125 0.250
0.145 0.625 0.250
0.500 0.500 0.000
0.250 0.750 0.500
0.750 0.250 0.500
0.000 0.000 0.000
```

Properties
**Space-group type**: No. 122
**Polymorph energy (0 for the lowest one)**: 0.0 meV per atom
**Raw formation energy**: -1.05 kcal/mol of atoms
**Fermi-level density of states**: 3.26 states/eV/f.u.